Entry 1:
Entry from Alexandria: crystalline CoPb4Cl at its relaxed geometry (PBE).

Cell lengths 6.379, 6.379, 6.379 Å; angles 60.00, 60.00, 60.00 degrees
Atoms (fractional coordinates):
Co  0.000  0.000  0.000
Pb  0.877  0.374  0.374
Pb  0.374  0.374  0.877
Pb  0.374  0.877  0.374
Pb  0.374  0.374  0.374
Cl  0.750  0.750  0.750

Computed properties:
Total DFT energy (no corrections) (eV/atom): -3.391
Space-group type: F-43m (216)
Formation energy from raw total energies (meV per atom): 573

Entry 2:
Entry from Alexandria: crystalline Pr5Si2S2 at its relaxed geometry (PBE).

Cell lengths 7.772, 7.855, 8.380 Å; angles 90.00, 62.37, 90.00 degrees
Atoms (fractional coordinates):
Pr  0.000  0.000  0.000
Pr  0.500  0.500  0.000
Pr  0.466  0.166  0.719
Pr  0.814  0.834  0.719
Pr  0.314  0.666  0.719
Pr  0.966  0.334  0.719
Pr  0.534  0.834  0.281
Pr  0.186  0.166  0.281
Pr  0.686  0.334  0.281
Pr  0.034  0.666  0.281
Si  0.115  0.384  0.000
Si  0.885  0.616  0.000
Si  0.385  0.884  0.000
Si  0.615  0.116  0.000
S  0.197  0.000  0.606
S  0.697  0.500  0.606
S  0.803  0.000  0.394
S  0.303  0.500  0.394

Computed properties:
Total DFT energy (no corrections) (eV/atom): -5.964
Space-group type: Cmce (64)
Formation energy from raw total energies (meV per atom): -1186

Entry 3:
Entry from Alexandria: crystalline PmNdSi2Ni2 at its relaxed geometry (PBE).

Cell lengths 4.009, 4.009, 8.430 Å; angles 90.00, 90.00, 120.00 degrees
Atoms (fractional coordinates):
Pm  0.000  0.000  0.500
Nd  0.000  0.000  0.000
Si  0.333  0.667  0.748
Si  0.667  0.333  0.252
Ni  0.333  0.667  0.252
Ni  0.667  0.333  0.748

Computed properties:
Total DFT energy (no corrections) (eV/atom): -6.048
Space-group type: P-3m1 (164)
Formation energy from raw total energies (meV per atom): -727

Entry 4:
Entry from Alexandria: crystalline Be2CrFe at its relaxed geometry (PBE).

Cell lengths 4.426, 4.426, 3.795 Å; angles 64.69, 64.69, 35.54 degrees
Atoms (fractional coordinates):
Cr  0.250  0.250  0.250
Fe  0.750  0.750  0.750
Be  0.008  0.008  0.992
Be  0.492  0.492  0.508

Computed properties:
Total DFT energy (no corrections) (eV/atom): -6.336
E above lowest polymorph (eV per atom): 0.195
Space-group type: Immm (71)
Energy relative to the elements (eV/f.u.): 0.195

Entry 5:
Entry from Alexandria: crystalline CrIn2TcC at its relaxed geometry (PBE).

Cell lengths 5.095, 4.323, 5.095 Å; angles 90.00, 90.00, 90.00 degrees
Atoms (fractional coordinates):
Cr  0.000  0.000  0.000
C  0.500  0.500  0.500
Tc  0.000  0.500  0.000
In  0.000  0.000  0.500
In  0.500  0.000  0.000

Computed properties:
Total DFT energy (no corrections) (eV/atom): -4.957
Space-group type: P4/mmm (123)
Energy relative to the elements (eV/f.u.): 9.903

Entry 6:
Entry from Alexandria: crystalline ZrGa2Pd at its relaxed geometry (PBE).

Cell lengths 5.665, 6.374, 7.754 Å; angles 90.00, 90.00, 90.00 degrees
Atoms (fractional coordinates):
Zr  0.347  0.250  0.018
Zr  0.847  0.750  0.482
Zr  0.653  0.750  0.982
Zr  0.153  0.250  0.518
Ga  0.920  0.042  0.212
Ga  0.420  0.958  0.288
Ga  0.080  0.542  0.788
Ga  0.580  0.458  0.712
Ga  0.080  0.958  0.788
Ga  0.580  0.042  0.712
Ga  0.920  0.458  0.212
Ga  0.420  0.542  0.288
Pd  0.658  0.250  0.433
Pd  0.158  0.750  0.067
Pd  0.342  0.750  0.567
Pd  0.842  0.250  0.933

Computed properties:
Total DFT energy (no corrections) (eV/atom): -5.549
Space-group type: Pnma (62)
Energy relative to the elements (eV/f.u.): -2.400

Entry 7:
Entry from Alexandria: crystalline Dy4Si3Pd at its relaxed geometry (PBE).

Cell lengths 4.209, 3.913, 10.769 Å; angles 90.00, 90.00, 90.00 degrees
Atoms (fractional coordinates):
Dy  0.500  0.500  0.361
Dy  0.000  0.500  0.857
Dy  0.000  0.000  0.138
Dy  0.500  0.000  0.642
Si  0.000  0.500  0.575
Si  0.000  0.000  0.431
Si  0.500  0.000  0.919
Pd  0.500  0.500  0.078

Computed properties:
Total DFT energy (no corrections) (eV/atom): -5.798
Space-group type: Pmm2 (25)
Formation energy from raw total energies (meV per atom): -814

Entry 8:
Entry from Alexandria: crystalline CaAcAl2Ga2 at its relaxed geometry (PBE).

Cell lengths 4.408, 4.408, 9.017 Å; angles 90.00, 90.00, 120.00 degrees
Atoms (fractional coordinates):
Ca  0.000  0.000  0.500
Ac  0.000  0.000  0.000
Al  0.667  0.333  0.258
Al  0.333  0.667  0.742
Ga  0.667  0.333  0.741
Ga  0.333  0.667  0.259

Computed properties:
Total DFT energy (no corrections) (eV/atom): -3.726
Space-group type: P-3m1 (164)
Energy relative to the elements (eV/f.u.): -2.706

Entry 9:
Entry from Alexandria: crystalline Bi3Sb5Te12 at its relaxed geometry (PBE).

Cell lengths 15.903, 15.903, 15.903 Å; angles 109.47, 109.47, 109.47 degrees
Atoms (fractional coordinates):
Bi  0.750  0.375  0.125
Bi  0.875  0.750  0.125
Bi  0.375  0.750  0.625
Bi  0.250  0.125  0.375
Bi  0.875  0.125  0.250
Bi  0.375  0.625  0.250
Bi  0.625  0.375  0.750
Bi  0.125  0.875  0.750
Bi  0.750  0.875  0.625
Bi  0.625  0.250  0.375
Bi  0.125  0.250  0.875
Bi  0.250  0.625  0.875
Sb  0.125  0.375  0.250
Sb  0.000  0.500  0.000
Sb  0.000  0.000  0.000
Sb  0.375  0.250  0.125
Sb  0.500  0.000  0.500
Sb  0.500  0.500  0.000
Sb  0.125  0.750  0.375
Sb  0.750  0.125  0.875
Sb  0.750  0.625  0.375
Sb  0.375  0.125  0.750
Sb  0.625  0.875  0.250
Sb  0.500  0.500  0.500
Sb  0.500  0.000  0.000
Sb  0.000  0.000  0.500
Sb  0.250  0.375  0.625
Sb  0.250  0.875  0.125
Sb  0.000  0.500  0.500
Sb  0.875  0.250  0.625
Sb  0.625  0.750  0.875
Sb  0.875  0.625  0.750
Te  0.720  0.138  0.051
Te  0.330  0.551  0.413
Te  0.949  0.362  0.280
Te  0.551  0.220  0.138
Te  0.582  0.720  0.670
Te  0.949  0.587  0.170
Te  0.330  0.780  0.418
Te  0.087  0.918  0.138
Te  0.587  0.949  0.670
Te  0.720  0.582  0.170
Te  0.780  0.449  0.362
Te  0.830  0.913  0.051
Te  0.138  0.720  0.551
Te  0.362  0.413  0.082
Te  0.082  0.913  0.362
Te  0.418  0.138  0.587
Te  0.082  0.170  0.220
Te  0.449  0.670  0.087
Te  0.830  0.918  0.280
Te  0.138  0.418  0.087
Te  0.362  0.949  0.780
Te  0.587  0.638  0.418
Te  0.913  0.830  0.551
Te  0.780  0.330  0.918
Te  0.413  0.362  0.582
Te  0.087  0.170  0.449
Te  0.220  0.670  0.082
Te  0.170  0.082  0.720
Te  0.638  0.051  0.220
Te  0.862  0.582  0.913
Te  0.551  0.330  0.913
Te  0.582  0.862  0.413
Te  0.918  0.830  0.780
Te  0.918  0.087  0.638
Te  0.862  0.280  0.449
Te  0.170  0.087  0.949
Te  0.638  0.587  0.918
Te  0.413  0.051  0.330
Te  0.280  0.418  0.830
Te  0.220  0.551  0.638
Te  0.913  0.082  0.862
Te  0.670  0.220  0.582
Te  0.449  0.780  0.862
Te  0.051  0.413  0.830
Te  0.418  0.280  0.330
Te  0.051  0.638  0.720
Te  0.670  0.449  0.587
Te  0.280  0.862  0.949

Computed properties:
Total DFT energy (no corrections) (eV/atom): -3.436
Space-group type: Ia-3d (230)
Formation energy from raw total energies (meV per atom): 61

Entry 10:
Entry from Alexandria: crystalline AcPmNdSm at its relaxed geometry (PBE).

Cell lengths 5.297, 5.307, 6.465 Å; angles 114.23, 114.18, 90.00 degrees
Atoms (fractional coordinates):
Ac  0.446  0.446  0.891
Pm  0.946  0.946  0.891
Nd  0.196  0.696  0.392
Sm  0.695  0.195  0.391

Computed properties:
Total DFT energy (no corrections) (eV/atom): -4.549
E above lowest polymorph (eV per atom): 0.000
Space-group type: I-4m2 (119)
Energy relative to the elements (eV/f.u.): 0.150

Entry 11:
Entry from Alexandria: crystalline MgMnCl at its relaxed geometry (PBE).

Cell lengths 3.307, 3.307, 6.001 Å; angles 90.00, 90.00, 120.00 degrees
Atoms (fractional coordinates):
Cl  0.000  0.000  0.990
Mg  0.667  0.333  0.333
Mn  0.333  0.667  0.677

Computed properties:
Total DFT energy (no corrections) (eV/atom): -4.444
E above lowest polymorph (eV per atom): 0.000
Space-group type: P3m1 (156)
Formation energy from raw total energies (meV per atom): -240

Entry 12:
Entry from Alexandria: crystalline VAg2PbI at its relaxed geometry (PBE).

Cell lengths 5.291, 6.482, 5.291 Å; angles 90.00, 90.00, 90.00 degrees
Atoms (fractional coordinates):
Pb  0.000  0.000  0.000
I  0.000  0.500  0.000
Ag  0.000  0.000  0.500
Ag  0.500  0.000  0.000
V  0.500  0.500  0.500

Computed properties:
Total DFT energy (no corrections) (eV/atom): -3.011
Space-group type: P4/mmm (123)
Formation energy from raw total energies (meV per atom): 1005

Number 1: total magnetization 0.336 μB per atom. Number 2: total magnetization 0.000 μB per atom. Number 3: total magnetization 0.000 μB per atom. Number 4: total magnetization 0.000 μB per atom. Number 5: total magnetization 0.217 μB per atom. Number 6: total magnetization 0.000 μB per atom. Number 7: total magnetization 0.000 μB per atom. Number 8: total magnetization 0.000 μB per atom. Number 9: total magnetization 0.000 μB per atom. Number 10: total magnetization 0.000 μB per atom. Number 11: total magnetization 1.319 μB per atom. Number 12: total magnetization 0.813 μB per atom.